P | # Li2TlC

A relaxed Li2TlC crystal (PBE, Alexandria via LeMat-Bulk).

Geometry as POSCAR:
```
Li2TlC
1.0
-2.252 2.252 6.755
2.252 -2.252 6.755
2.252 2.252 -6.755
Li Tl C
4 2 2
Direct
0.000 0.000 0.000
0.000 0.000 0.500
0.000 0.500 0.000
0.500 0.000 0.500
0.375 0.625 0.750
0.625 0.375 0.250
0.125 0.875 0.250
0.875 0.125 0.750
```

Computed properties:
Its calculated density is 5.581 g cm⁻³. The calculation puts the density of states at the Fermi level at 4.202 states/eV per cell.

Q | # Li2TlC

A relaxed Li2TlC crystal (PBE, Alexandria via LeMat-Bulk).

Geometry as POSCAR:
```
Li2TlC
1.0
0.000 3.030 3.030
3.030 0.000 3.030
3.030 3.030 0.000
Li Tl C
2 1 1
Direct
0.250 0.250 0.250
0.750 0.750 0.750
0.000 0.000 0.000
0.500 0.500 0.500
```

Computed properties:
Its calculated density is 6.873 g cm⁻³. The calculation puts the density of states at the Fermi level at 1.470 states/eV per cell.

Best to worst by energy: Q, P.

P | # LiZnC3

A relaxed LiZnC3 crystal (PBE, Alexandria via LeMat-Bulk).

Geometry as POSCAR:
```
LiZnC3
1.0
3.688 0.000 0.000
0.000 3.688 0.000
0.000 0.000 3.688
Li Zn C
1 1 3
Direct
0.000 0.000 0.000
0.500 0.500 0.500
0.000 0.000 0.500
0.000 0.500 0.000
0.500 0.000 0.000
```

Computed properties:
Its calculated density is 3.587 g cm⁻³. The calculation puts the density of states at the Fermi level at 2.157 states/eV per cell.

Q | # LiZnC3

A relaxed LiZnC3 crystal (PBE, Alexandria via LeMat-Bulk).

Geometry as POSCAR:
```
LiZnC3
1.0
3.994 0.000 0.000
0.000 3.994 0.000
0.000 0.000 3.994
Li Zn C
1 1 3
Direct
0.000 0.000 0.000
0.500 0.500 0.500
0.000 0.500 0.500
0.500 0.000 0.500
0.500 0.500 0.000
```

Computed properties:
Its calculated density is 2.825 g cm⁻³. The calculation puts the density of states at the Fermi level at 2.379 states/eV per cell.

Best to worst by energy: Q, P.

P | # Li2Zn2C

A relaxed Li2Zn2C crystal (PBE, Alexandria via LeMat-Bulk).

Geometry as POSCAR:
```
Li2Zn2C
1.0
5.384 0.000 0.000
0.000 5.384 0.000
0.000 0.000 4.174
Li Zn C
4 4 2
Direct
0.157 0.343 0.000
0.343 0.843 0.000
0.657 0.157 0.000
0.843 0.657 0.000
0.172 0.672 0.500
0.328 0.172 0.500
0.672 0.828 0.500
0.828 0.328 0.500
0.000 0.000 0.000
0.500 0.500 0.000
```

Computed properties:
Its calculated density is 4.301 g cm⁻³. The calculation puts the density of states at the Fermi level at 1.845 states/eV per cell.

Q | # Li2Zn2C

A relaxed Li2Zn2C crystal (PBE, Alexandria via LeMat-Bulk).

Geometry as POSCAR:
```
Li2Zn2C
1.0
-1.649 1.649 7.001
1.649 -1.649 7.001
1.649 1.649 -7.001
Li Zn C
2 2 1
Direct
0.079 0.079 0.000
0.921 0.921 0.000
0.250 0.750 0.500
0.750 0.250 0.500
0.500 0.500 0.000
```

Computed properties:
Its calculated density is 3.418 g cm⁻³. The calculation puts the density of states at the Fermi level at 2.500 states/eV per cell.

Best to worst by energy: P, Q.

P | # Li2ZnC

A relaxed Li2ZnC crystal (PBE, Alexandria via LeMat-Bulk).

Geometry as POSCAR:
```
Li2ZnC
1.0
0.000 2.737 2.737
2.737 0.000 2.737
2.737 2.737 0.000
Li Zn C
2 1 1
Direct
0.250 0.250 0.250
0.750 0.750 0.750
0.000 0.000 0.000
0.500 0.500 0.500
```

Computed properties:
Its calculated density is 3.697 g cm⁻³. The calculation puts the density of states at the Fermi level at 1.349 states/eV per cell.

Q | # Li2ZnC

A relaxed Li2ZnC crystal (PBE, Alexandria via LeMat-Bulk).

Geometry as POSCAR:
```
Li2ZnC
1.0
-4.289 4.289 1.872
4.289 -4.289 1.872
4.289 4.289 -1.872
Li Zn C
4 2 2
Direct
0.375 0.127 0.252
0.873 0.125 0.248
0.875 0.123 0.748
0.877 0.625 0.752
0.250 0.750 0.500
0.500 0.500 0.000
0.000 0.000 0.000
0.750 0.250 0.500
```

Computed properties:
Its calculated density is 2.202 g cm⁻³. The calculation puts the density of states at the Fermi level at 0.000 states/eV per cell.

Best to worst by energy: Q, P.

P | # Li3ZrC

A relaxed Li3ZrC crystal (PBE, Alexandria via LeMat-Bulk).

Geometry as POSCAR:
```
Li3ZrC
1.0
5.374 0.000 0.000
0.000 5.374 0.000
0.000 0.000 5.374
Li Zr C
3 1 1
Direct
0.000 0.000 0.500
0.000 0.500 0.000
0.500 0.000 0.000
0.000 0.000 0.000
0.500 0.500 0.500
```

Computed properties:
Its calculated density is 1.327 g cm⁻³. The calculation puts the density of states at the Fermi level at 5.489 states/eV per cell.

Q | # Li3ZrC

A relaxed Li3ZrC crystal (PBE, Alexandria via LeMat-Bulk).

Geometry as POSCAR:
```
Li3ZrC
1.0
4.021 0.000 0.000
0.000 4.021 0.000
0.000 0.000 4.021
Li Zr C
3 1 1
Direct
0.000 0.000 0.500
0.000 0.500 0.000
0.500 0.000 0.000
0.500 0.500 0.500
0.000 0.000 0.000
```

Computed properties:
Its calculated density is 3.170 g cm⁻³. The calculation puts the density of states at the Fermi level at 3.763 states/eV per cell.

Best to worst by energy: Q, P.

P | # LiZrC2

A relaxed LiZrC2 crystal (PBE, Alexandria via LeMat-Bulk).

Geometry as POSCAR:
```
LiZrC2
1.0
-1.846 1.846 6.230
1.846 -1.846 6.230
1.846 1.846 -6.230
Li Zr C
2 2 4
Direct
0.000 0.000 0.000
0.750 0.250 0.500
0.250 0.750 0.500
0.500 0.500 0.000
0.375 0.215 0.340
0.785 0.125 0.160
0.875 0.035 0.660
0.965 0.625 0.840
```

Computed properties:
Its calculated density is 4.780 g cm⁻³. The calculation puts the density of states at the Fermi level at 0.840 states/eV per cell.

Q | # LiZrC2

A relaxed LiZrC2 crystal (PBE, Alexandria via LeMat-Bulk).

Geometry as POSCAR:
```
LiZrC2
1.0
0.000 2.776 2.776
2.776 0.000 2.776
2.776 2.776 0.000
Li Zr C
1 1 2
Direct
0.000 0.000 0.000
0.500 0.500 0.500
0.250 0.250 0.250
0.750 0.750 0.750
```

Computed properties:
Its calculated density is 4.742 g cm⁻³. The calculation puts the density of states at the Fermi level at 4.222 states/eV per cell.

Best to worst by energy: Q, P.